No. 1
DFT (PBE) results for crystalline Na2Er5Hg12 at its relaxed geometry.

## Properties
Energy relative to the elements, eV/f.u.: -4.42
Space-group type: C2/m
DFT total energy, eV/atom: -1.763

abc: 8.650 8.650 9.000
angles: 121.23 121.23 70.06
Fractional coordinates of all 19 atoms:
Na  0.247  0.753  0.000
Na  0.753  0.247  0.000
Er  0.219  0.219  0.077
Er  0.232  0.232  0.680
Er  0.500  0.500  0.500
Er  0.768  0.768  0.320
Er  0.781  0.781  0.923
Hg  0.056  0.056  0.238
Hg  0.109  0.657  0.225
Hg  0.139  0.471  0.450
Hg  0.343  0.891  0.775
Hg  0.460  0.460  0.124
Hg  0.471  0.139  0.450
Hg  0.529  0.861  0.550
Hg  0.540  0.540  0.876
Hg  0.657  0.109  0.225
Hg  0.861  0.529  0.550
Hg  0.891  0.343  0.775
Hg  0.944  0.944  0.762



No. 2
DFT (PBE) results for crystalline NaErHg at its relaxed geometry.

## Properties
Energy relative to the elements, eV/f.u.: -0.32
Energy above the most stable polymorph in this dataset, meV/atom: 0
Space-group type: I4mm
DFT total energy, eV/atom: -2.168

abc: 7.022 7.022 7.022
angles: 149.57 149.57 43.58
Fractional coordinates of all 3 atoms:
Na  0.000  0.000  0.000
Er  0.280  0.280  0.000
Hg  0.661  0.661  0.000



No. 3
DFT (PBE) results for crystalline Na4ErHg15 at its relaxed geometry.

## Properties
Energy relative to the elements, eV/f.u.: -4.14
Space-group type: P4/mmm
DFT total energy, eV/atom: -0.925

abc: 4.654 4.654 23.338
angles: 90.00 90.00 90.00
Fractional coordinates of all 20 atoms:
Na  0.000  0.000  0.101
Na  0.000  0.000  0.302
Na  0.000  0.000  0.698
Na  0.000  0.000  0.899
Er  0.000  0.000  0.500
Hg  0.000  0.500  0.000
Hg  0.000  0.500  0.202
Hg  0.000  0.500  0.402
Hg  0.000  0.500  0.598
Hg  0.000  0.500  0.798
Hg  0.500  0.000  0.000
Hg  0.500  0.000  0.202
Hg  0.500  0.000  0.402
Hg  0.500  0.000  0.598
Hg  0.500  0.000  0.798
Hg  0.500  0.500  0.101
Hg  0.500  0.500  0.304
Hg  0.500  0.500  0.500
Hg  0.500  0.500  0.696
Hg  0.500  0.500  0.899



No. 4
DFT (PBE) results for crystalline NaEr2Hg4 at its relaxed geometry.

## Properties
Energy relative to the elements, eV/f.u.: -1.53
Space-group type: R-3m
DFT total energy, eV/atom: -1.883

abc: 8.770 8.770 8.770
angles: 33.54 33.54 33.54
Fractional coordinates of all 7 atoms:
Na  0.000  0.000  0.000
Er  0.249  0.249  0.249
Er  0.751  0.751  0.751
Hg  0.127  0.127  0.127
Hg  0.377  0.377  0.377
Hg  0.623  0.623  0.623
Hg  0.873  0.873  0.873



No. 5
DFT (PBE) results for crystalline NaErHg2 at its relaxed geometry.

## Properties
Energy relative to the elements, eV/f.u.: -0.86
Space-group type: R3m
DFT total energy, eV/atom: -1.836

abc: 9.508 9.508 9.508
angles: 22.43 22.43 22.43
Fractional coordinates of all 4 atoms:
Na  0.000  0.000  0.000
Er  0.167  0.167  0.167
Hg  0.581  0.581  0.581
Hg  0.753  0.753  0.753



No. 6
DFT (PBE) results for crystalline NaErHg2 at its relaxed geometry.

## Properties
Energy relative to the elements, eV/f.u.: -1.43
Space-group type: P4/mmm
DFT total energy, eV/atom: -1.978

abc: 5.304 5.304 3.522
angles: 90.00 90.00 90.00
Fractional coordinates of all 4 atoms:
Na  0.000  0.000  0.000
Er  0.500  0.500  0.000
Hg  0.000  0.500  0.500
Hg  0.500  0.000  0.500



No. 7
DFT (PBE) results for crystalline NaErHg at its relaxed geometry.

## Properties
Energy relative to the elements, eV/f.u.: -0.10
Energy above the most stable polymorph in this dataset, meV/atom: 73
Space-group type: R-3m
DFT total energy, eV/atom: -2.095

abc: 9.231 9.231 9.231
angles: 31.25 31.25 31.25
Fractional coordinates of all 6 atoms:
Na  0.133  0.133  0.133
Na  0.867  0.867  0.867
Er  0.374  0.374  0.374
Er  0.626  0.626  0.626
Hg  0.259  0.259  0.259
Hg  0.741  0.741  0.741



No. 8
DFT (PBE) results for crystalline Na2ErHg8 at its relaxed geometry.

## Properties
Energy relative to the elements, eV/f.u.: -2.40
Space-group type: C2/m
DFT total energy, eV/atom: -1.092

abc: 8.421 8.421 7.227
angles: 108.15 108.15 34.38
Fractional coordinates of all 11 atoms:
Na  0.218  0.218  0.149
Na  0.782  0.782  0.851
Er  0.500  0.500  0.500
Hg  0.020  0.020  0.222
Hg  0.150  0.150  0.655
Hg  0.332  0.332  0.614
Hg  0.402  0.402  0.054
Hg  0.598  0.598  0.946
Hg  0.668  0.668  0.386
Hg  0.850  0.850  0.345
Hg  0.980  0.980  0.778



No. 9
DFT (PBE) results for crystalline Na2ErHg7 at its relaxed geometry.

## Properties
Energy relative to the elements, eV/f.u.: -1.77
Space-group type: P3m1
DFT total energy, eV/atom: -1.109

abc: 5.123 5.123 11.853
angles: 90.00 90.00 120.00
Fractional coordinates of all 10 atoms:
Na  0.000  0.000  0.000
Na  0.333  0.667  0.594
Er  0.667  0.333  0.370
Hg  0.000  0.000  0.251
Hg  0.000  0.000  0.499
Hg  0.000  0.000  0.751
Hg  0.333  0.667  0.300
Hg  0.333  0.667  0.890
Hg  0.667  0.333  0.104
Hg  0.667  0.333  0.639



No. 10
DFT (PBE) results for crystalline NaNdErHg at its relaxed geometry.

## Properties
Energy relative to the elements, eV/f.u.: -0.20
Space-group type: F-43m
DFT total energy, eV/atom: -2.788

abc: 5.408 5.408 5.408
angles: 60.00 60.00 60.00
Fractional coordinates of all 4 atoms:
Na  0.000  0.000  0.000
Nd  0.250  0.250  0.250
Er  0.750  0.750  0.750
Hg  0.500  0.500  0.500



No. 11
DFT (PBE) results for crystalline Na2ErHgO4 at its relaxed geometry.

## Properties
Raw formation energy, eV/atom: -1.703
Space-group type: P2/m
DFT total energy, eV/atom: -5.120

abc: 5.765 3.421 5.973
angles: 90.00 108.95 90.00
Fractional coordinates of all 8 atoms:
Na  0.000  0.000  0.000
Na  0.500  0.500  0.000
Er  0.000  0.500  0.500
Hg  0.500  0.000  0.500
O  0.224  0.000  0.719
O  0.246  0.500  0.270
O  0.754  0.500  0.730
O  0.776  0.000  0.281



No. 12
DFT (PBE) results for crystalline NaErHgPb at its relaxed geometry.

## Properties
Energy relative to the elements, eV/f.u.: -1.39
Space-group type: F-43m
DFT total energy, eV/atom: -2.820

abc: 5.290 5.290 5.290
angles: 60.00 60.00 60.00
Fractional coordinates of all 4 atoms:
Na  0.000  0.000  0.000
Er  0.500  0.500  0.500
Hg  0.750  0.750  0.750
Pb  0.250  0.250  0.250



The lowest DFT total energy belongs to which entry? Na2ErHgO4



Look up the DFT total energy of the seventh one. -2.095 eV/atom



Which of these has the highest DFT total energy? Na4ErHg15



What is the formula in the twelfth record? NaErHgPb